Record 1
VASP calculation (PBE) on a relaxed Ca2CdRe crystal.

The space group is R-3m (No. 166, hexagonal axes) and the conventional cell measures 3.2537, 3.2537 and 31.4534 Å, with angles of 90.00, 90.00 and 120.00 degrees. The inequivalent atoms are Ca at (0.0000, 0.0000, 0.2397), Cd at (0.0000, 0.0000, 0.0000) and Re at (0.0000, 0.0000, 0.5000).

Its final energy is -3.763 eV/atom. The energy of formation from the pure elements is 0.578 eV per atom.

---

Record 2
VASP calculation (PBE) on a relaxed La3Sm5Dy crystal.

The space group is C2/m (No. 12) and the conventional cell measures 12.403, 8.442 and 12.893 Å, with angles of 90.00, 101.19 and 90.00 degrees. The inequivalent atoms are La at (0.000, 0.000, 0.000), La at (0.000, 0.000, 0.500), La at (0.109, 0.500, 0.213), La at (0.230, 0.500, 0.467), Sm at (0.000, 0.318, 0.000), Sm at (0.059, 0.500, 0.624), Sm at (0.136, 0.194, 0.776), Sm at (0.239, 0.500, 0.970) and Dy at (0.138, 0.000, 0.263).

Its final energy is -4.373 eV/atom. The energy of formation from the pure elements is 0.403 eV per atom.

---

Record 3
VASP calculation (PBE) on a relaxed DyGa2Ir crystal.

The space group is Fm-3m (No. 225) and the conventional cell measures 6.523, 6.523 and 6.523 Å, with angles of 90.00, 90.00 and 90.00 degrees. The inequivalent atoms are Dy at (0.000, 0.000, 0.000), Ga at (0.250, 0.250, 0.250) and Ir at (0.000, 0.000, 0.500).

Its final energy is -5.448 eV/atom. The energy of formation from the pure elements is -0.568 eV per atom.

---

Record 4
VASP calculation (PBE) on a relaxed ScGaSbI2 crystal.

The space group is P4/mmm (No. 123) and the conventional cell measures 5.492, 5.492 and 5.498 Å, with angles of 90.00, 90.00 and 90.00 degrees. The inequivalent atoms are Sc at (0.000, 0.000, 0.000), Ga at (0.500, 0.500, 0.500), Sb at (0.500, 0.500, 0.000) and I at (0.000, 0.500, 0.500).

Its final energy is -3.099 eV/atom. The value obtained for the energy above the most stable polymorph in this dataset is 495.1 meV per atom. The energy relative to the elements, uncorrected is 218 meV/atom.

---

Record 5
VASP calculation (PBE) on a relaxed TbTm2ThBi5 crystal.

The space group is P4/mmm (No. 123) and the conventional cell measures 5.721, 5.721 and 11.950 Å, with angles of 90.00, 90.00 and 90.00 degrees. The inequivalent atoms are Tb at (0.000, 0.000, 0.000), Tm at (0.500, 0.500, 0.265), Th at (0.000, 0.000, 0.500), Bi at (0.000, 0.000, 0.242), Bi at (0.000, 0.500, 0.500) and Bi at (0.500, 0.500, 0.000).

Its final energy is -4.198 eV/atom. The energy of formation from the pure elements is 0.290 eV per atom.

---

Record 6
VASP calculation (PBE) on a relaxed KIn12Hg4 crystal.

The space group is Im-3 (No. 204) and the conventional cell measures 10.116, 10.116 and 10.116 Å, with angles of 90.00, 90.00 and 90.00 degrees. The inequivalent atoms are K at (0.000, 0.000, 0.000), In at (0.000, 0.152, 0.353) and Hg at (0.250, 0.250, 0.250).

Its final energy is -2.005 eV/atom. The energy of formation from the pure elements is 0.063 eV per atom.

---

Record 7
VASP calculation (PBE) on a relaxed LaPuRhN3 crystal.

The space group is P2_1/m (No. 11) and the conventional cell measures 7.140, 3.496 and 7.850 Å, with angles of 90.00, 96.73 and 90.00 degrees. The inequivalent atoms are La at (0.159, 0.250, 0.186), Pu at (0.356, 0.750, 0.840), Rh at (0.117, 0.250, 0.591), N at (0.138, 0.250, 0.868), N at (0.234, 0.750, 0.555) and N at (0.410, 0.750, 0.125).

Its final energy is -9.294 eV/atom. The energy relative to the elements, uncorrected is -696 meV/atom.

---

Record 8
VASP calculation (PBE) on a relaxed PmDy3Pd crystal.

The space group is C2/m (No. 12) and the conventional cell measures 11.655, 8.426 and 7.908 Å, with angles of 90.00, 127.82 and 90.00 degrees. The inequivalent atoms are Pm at (0.042, 0.000, 0.309), Dy at (0.074, 0.500, 0.272), Dy at (0.202, 0.299, 0.736) and Pd at (0.226, 0.500, 0.075).

Its final energy is -5.016 eV/atom. The energy of formation from the pure elements is -0.266 eV per atom.

---

Question: The highest final energy belongs to which entry?
Answer: KIn12Hg4